SbI2Cl after structural relaxation. Source: Alexandria, functional GGA-PBE.

Output
density of states at the Fermi level	0.0	states/eV/f.u.
energy relative to the elements, uncorrected	-492	meV per atom

Cell: 4.3211 5.7696 8.4975 Å, 88.76 75.10 89.98°
Last column: nearest neighbours and their distance in Å.
Fractional positions:
1 I 0.6333 0.9963 0.7365  2 Sb 3.06
2 I 0.3669 0.9792 0.2637  2 Sb 3.06
3 Sb 0.9996 0.9706 0.0000  1 Cl 2.40
4 Cl 0.0002 0.5539 0.9998  1 Sb 2.40

Li4Tl3Pd4 after structural relaxation. Source: Alexandria, functional GGA-PBE.

Output
energy of formation from the pure elements	-0.242	eV per atom
density of states at the Fermi level	4.4	states/eV/f.u.

Cell: 3.1308 7.9970 9.1997 Å, 115.76 99.80 90.00°
Last column: nearest neighbours and their distance in Å.
Fractional positions:
1 Li 0.3366 0.1401 0.6731  4 Pd 2.63-2.80
2 Li 0.6634 0.8599 0.3269  4 Pd 2.63-2.80
3 Li 0.3366 0.5331 0.6731  4 Pd 2.63-2.80
4 Li 0.6634 0.4669 0.3269  4 Pd 2.63-2.80
5 Pd 0.2502 0.7502 0.5005  6 Li 2.63-2.80, 2 Tl 2.78
6 Pd 0.7498 0.2498 0.4995  6 Li 2.63-2.80, 2 Tl 2.78
7 Pd 0.5000 0.2069 0.0000  2 Li 2.77, 6 Tl 2.82-2.88
8 Pd 0.5000 0.7931 0.0000  2 Li 2.77, 6 Tl 2.82-2.88
9 Tl 0.8912 0.8912 0.7825  6 Pd 2.78-2.88, 4 Li 3.02
10 Tl 0.1088 0.1088 0.2175  6 Pd 2.78-2.88, 4 Li 3.02
11 Tl 0.0000 0.5000 0.0000  4 Pd 2.82, 2 Tl 3.13

Zn2NiOs after structural relaxation. Source: Alexandria, functional GGA-PBE.

Output
energy of formation from the pure elements	0.132	eV per atom
density of states at the Fermi level	4.0	states/eV/f.u.

Cell: 5.1567 5.1567 5.1567 Å, 149.32 129.54 60.23°
Last column: nearest neighbours and their distance in Å.
Fractional positions:
1 Ni 0.5009 0.5009 0.0000  6 Zn 2.52-2.59, 2 Os 2.54, 2 Ni 2.73
2 Os 0.2614 0.7614 0.5000  2 Ni 2.54, 6 Zn 2.60-2.71, 2 Os 2.73
3 Zn 0.9990 0.9990 0.0000  4 Ni 2.59, 4 Zn 2.69-2.73, 2 Os 2.71
4 Zn 0.7387 0.2387 0.5000  2 Ni 2.52, 4 Os 2.60, 4 Zn 2.69-2.73

Ba2LiBi5 after structural relaxation. Source: Alexandria, functional GGA-PBE.

Output
energy of formation from the pure elements	-0.501	eV per atom
density of states at the Fermi level	4.7	states/eV/f.u.

Cell: 7.2743 7.2749 7.4006 Å, 119.44 119.44 90.00°
Last column: nearest neighbours and their distance in Å.
Fractional positions:
1 Bi 0.7197 0.2556 0.9753  1 Li 2.94
2 Bi 0.2556 0.7197 0.9753  1 Li 2.94
3 Bi 0.7645 0.7645 0.5290  1 Li 3.40, 8 Bi 3.64-3.79, 4 Ba 3.65
4 Bi 0.7197 0.7197 0.9753  1 Li 2.94
5 Bi 0.2556 0.2556 0.9753  1 Li 2.94
6 Ba 0.7392 0.2392 0.4783  10 Bi 3.65-3.72, 2 Li 4.00
7 Ba 0.2392 0.7392 0.4783  10 Bi 3.65-3.72, 2 Li 4.00
8 Li 0.0836 0.0836 0.1672  4 Bi 2.94

BaP3H after structural relaxation. Source: Alexandria, functional GGA-PBE.

Output
density of states at the Fermi level	4.9	states/eV/f.u.
VASP energy	-2.583	eV per atom

Cell: 6.6367 6.6367 6.6367 Å, 90.00 90.00 90.00°
Last column: nearest neighbours and their distance in Å.
Fractional positions:
1 P 0.0000 0.0000 0.5000  2 Ba 3.32
2 P 0.5000 0.0000 0.0000  2 Ba 3.32
3 P 0.0000 0.5000 0.0000  2 Ba 3.32
4 Ba 0.0000 0.0000 0.0000  6 P 3.32
5 H 0.5000 0.5000 0.5000  12 P 4.69

Li5SbS after structural relaxation. Source: Alexandria, functional GGA-PBE.

Output
energy relative to the elements, uncorrected	-867	meV per atom

Cell: 8.7060 8.7060 6.1916 Å, 89.51 89.51 147.61°
Last column: nearest neighbours and their distance in Å.
Fractional positions:
1 Li 0.1842 0.8026 0.9945  1 S 2.50
2 Li 0.3629 0.6371 0.7500  2 S 2.64
3 Li 0.2555 0.1801 0.9095  2 S 2.39-2.41
4 Li 0.1974 0.8158 0.5055  1 S 2.50
5 Li 0.8026 0.1842 0.4945  1 S 2.50
6 Li 0.7445 0.8199 0.0905  2 S 2.39-2.41
7 Li 0.8199 0.7445 0.5905  2 S 2.39-2.41
8 Li 0.8158 0.1974 0.0055  1 S 2.50
9 Li 0.6371 0.3629 0.2500  2 S 2.64
10 Li 0.1801 0.2555 0.4095  2 S 2.39-2.41
11 S 0.0748 0.9252 0.2500  8 Li 2.39-2.64
12 S 0.9252 0.0748 0.7500  8 Li 2.39-2.64
13 Sb 0.3326 0.6674 0.2500  8 Li 2.73-2.90
14 Sb 0.6674 0.3326 0.7500  8 Li 2.73-2.90

La2ReAg after structural relaxation. Source: Alexandria, functional GGA-PBE.

Output
energy of formation from the pure elements	0.360	eV per atom
density of states at the Fermi level	4.8	states/eV/f.u.

Cell: 8.1268 8.1268 8.1268 Å, 29.77 29.77 29.77°
Last column: nearest neighbours and their distance in Å.
Fractional positions:
1 Re 0.2500 0.2500 0.2500  6 La 2.91
2 Ag 0.7500 0.7500 0.7500  6 La 3.30
3 La 0.9864 0.9864 0.9864  3 Re 2.91
4 La 0.5136 0.5136 0.5136  3 Re 2.91

CaY2ZrAs4 after structural relaxation. Source: Alexandria, functional GGA-PBE.

Output
energy of formation from the pure elements	-1.329	eV per atom
density of states at the Fermi level	1.2	states/eV/f.u.

Cell: 4.0661 7.0953 7.0109 Å, 109.06 90.00 90.00°
Last column: nearest neighbours and their distance in Å.
Fractional positions:
1 As 0.0000 0.2393 0.7536  1 Zr 2.79, 3 Y 2.86-2.95, 2 Ca 2.91
2 As 0.5000 0.2377 0.2397  2 Zr 2.82, 3 Y 2.86-2.95, 1 Ca 2.89
3 As 0.5000 0.7623 0.7603  2 Zr 2.82, 3 Y 2.86-2.95, 1 Ca 2.89
4 As 0.0000 0.7607 0.2464  1 Zr 2.79, 3 Y 2.86-2.95, 2 Ca 2.91
5 Y 0.0000 0.5000 0.5000  6 As 2.95
6 Y 0.5000 0.0000 0.5000  6 As 2.86
7 Zr 0.0000 0.0000 0.0000  6 As 2.79-2.82
8 Ca 0.5000 0.5000 0.0000  6 As 2.89-2.91

Pr3Al2Cu2 after structural relaxation. Source: Alexandria, functional GGA-PBE.

Output
energy of formation from the pure elements	-0.253	eV per atom
density of states at the Fermi level	7.0	states/eV/f.u.

Cell: 4.5155 3.7481 10.3931 Å, 100.39 102.55 90.00°
Last column: nearest neighbours and their distance in Å.
Fractional positions:
1 Pr 0.0000 0.0000 0.0000  8 Cu 3.21, 4 Al 3.24
2 Pr 0.6899 0.1899 0.3798  2 Cu 3.12, 4 Al 3.15
3 Pr 0.3101 0.8101 0.6202  2 Cu 3.12, 4 Al 3.15
4 Al 0.8674 0.3674 0.7348  2 Cu 2.63
5 Al 0.1326 0.6326 0.2652  2 Cu 2.63
6 Cu 0.4353 0.4353 0.8706  1 Cu 2.58, 2 Al 2.63
7 Cu 0.5647 0.5647 0.1294  1 Cu 2.58, 2 Al 2.63

TmPuMnRh after structural relaxation. Source: Alexandria, functional GGA-PBE.

Output
energy of formation from the pure elements	-0.285	eV per atom
density of states at the Fermi level	4.6	states/eV/f.u.

Cell: 4.7993 4.7993 4.7993 Å, 60.00 60.00 60.00°
Last column: nearest neighbours and their distance in Å.
Fractional positions:
1 Mn 0.5000 0.5000 0.5000  4 Tm 2.94, 4 Pu 2.94
2 Rh 0.0000 0.0000 0.0000  4 Pu 2.94, 4 Tm 2.94
3 Pu 0.7500 0.7500 0.7500  4 Mn 2.94, 4 Rh 2.94
4 Tm 0.2500 0.2500 0.2500  4 Rh 2.94, 4 Mn 2.94

LaCoHg2 after structural relaxation. Source: Alexandria, functional GGA-PBE.

Output
energy of formation from the pure elements	-0.078	eV per atom
density of states at the Fermi level	3.6	states/eV/f.u.

Cell: 4.4522 4.9094 4.9305 Å, 63.10 90.00 90.00°
Last column: nearest neighbours and their distance in Å.
Fractional positions:
1 Hg 0.0000 0.9228 0.9240  2 Co 2.66, 3 Hg 2.88-2.91
2 Hg 0.0000 0.5772 0.5760  2 Co 2.66, 3 Hg 2.88-2.91
3 La 0.5000 0.2500 0.2500  2 Co 2.57
4 Co 0.5000 0.7500 0.7500  2 La 2.57, 4 Hg 2.66

Pu2SCl after structural relaxation. Source: Alexandria, functional GGA-PBE.

Output
density of states at the Fermi level	11.7	states/eV/f.u.
energy relative to the elements, uncorrected	-1227	meV per atom

Cell: 3.4792 3.4792 7.1361 Å, 90.00 90.00 90.00°
Last column: nearest neighbours and their distance in Å.
Fractional positions:
1 Pu 0.0000 0.0000 0.2285  4 S 2.95, 4 Cl 3.13, 1 Pu 3.26
2 Pu 0.0000 0.0000 0.7715  4 S 2.95, 4 Cl 3.13, 1 Pu 3.26
3 Cl 0.5000 0.5000 0.5000  8 Pu 3.13, 4 Cl 3.48
4 S 0.5000 0.5000 0.0000  8 Pu 2.95